1.
A plane-wave DFT calculation with PBE was carried out for a relaxed structure of Sr2CoW.

abc: 3.0733 3.0733 9.7911
angles: 90.00 90.00 90.00
Last column: nearest neighbours and their distance in Å.
Positions (direct):
Sr  0.0000  0.0000  0.2338  4 Sr 3.07, 4 Co 3.16, 4 W 3.39
Sr  0.0000  0.0000  0.7662  4 Sr 3.07, 4 Co 3.16, 4 W 3.39
Co  0.5000  0.5000  0.0000  4 Co 3.07, 8 Sr 3.16
W  0.5000  0.5000  0.5000  4 W 3.07, 8 Sr 3.39

D(E_F) (states/eV per cell): 5.6
ΔH_f (0 K) (eV/atom): 1.18
SG: P4/mmm (123)
Uncorrected energy (eV/cell): -18.7
Magnetization (μB per atom): 0.35
Excess energy over the best structure of this formula in the dataset (meV per atom): 590

2.
A plane-wave DFT calculation with PBE was carried out for a relaxed structure of Ca6Hg5N.

abc: 7.1978 7.1978 6.9116
angles: 98.18 98.18 109.91
Last column: nearest neighbours and their distance in Å.
Positions (direct):
Ca  0.0412  0.3297  0.6897  1 N 2.44
Ca  0.1740  0.1740  0.2425  1 N 2.55
Ca  0.3297  0.0412  0.6897  1 N 2.44
Ca  0.6703  0.9588  0.3103  1 N 2.44
Ca  0.8260  0.8260  0.7575  1 N 2.55
Ca  0.9588  0.6703  0.3103  1 N 2.44
Hg  0.2349  0.7651  0.0000  6 Ca 3.12-3.37, 1 Hg 3.12
Hg  0.3699  0.6301  0.5000  1 Hg 3.07, 6 Ca 3.19-3.23
Hg  0.5000  0.5000  0.0000  2 Hg 3.12, 4 Ca 3.39
Hg  0.6301  0.3699  0.5000  1 Hg 3.07, 6 Ca 3.19-3.23
Hg  0.7651  0.2349  0.0000  6 Ca 3.12-3.37, 1 Hg 3.12
N  0.0000  0.0000  0.5000  6 Ca 2.44-2.55

D(E_F) (states/eV per cell): 6.4
SG: C2/m (12)
Uncorrected energy (eV/cell): -28.0
Magnetization (μB per atom): 0.00
Formation energy from raw total energies (eV/atom): -0.516

3.
A plane-wave DFT calculation with PBE was carried out for a relaxed structure of Zr2Cd2Cu.

abc: 8.2896 8.2896 8.2896
angles: 153.44 153.44 37.92
Last column: nearest neighbours and their distance in Å.
Positions (direct):
Zr  0.0864  0.0864  0.0000  1 Zr 2.71, 4 Cu 3.01
Zr  0.9136  0.9136  0.0000  1 Zr 2.71, 4 Cu 3.01
Cd  0.2500  0.7500  0.5000  4 Cd 2.69
Cd  0.7500  0.2500  0.5000  4 Cd 2.69
Cu  0.5000  0.5000  0.0000  8 Zr 3.01

D(E_F) (states/eV per cell): 6.1
ΔH_f (0 K) (eV/atom): 0.45
SG: I4/mmm (139)
Uncorrected energy (eV/cell): -20.8
Magnetization (μB per atom): 0.11
Excess energy over the best structure of this formula in the dataset (meV per atom): 330

4.
A plane-wave DFT calculation with PBE was carried out for a relaxed structure of SiNiAsP.

abc: 2.6438 7.1008 7.1008
angles: 28.19 90.00 90.00
Last column: nearest neighbours and their distance in Å.
Positions (direct):
Si  0.0000  0.0000  0.0000  2 P 2.30
Ni  0.5000  0.2603  0.2603  2 P 2.22
As  0.0000  0.6630  0.6630  4 Ni 2.56, 2 As 2.64, 2 Si 2.83
P  0.0000  0.3897  0.3897  2 Ni 2.22, 2 Si 2.30

D(E_F) (states/eV per cell): 1.3
SG: Amm2 (38)
Uncorrected energy (eV/cell): -21.5
Magnetization (μB per atom): 0.00
Excess energy over the best structure of this formula in the dataset (meV per atom): 129
Formation energy from raw total energies (eV/atom): -0.048

5.
A plane-wave DFT calculation with PBE was carried out for a relaxed structure of NaHgPbCl6.

abc: 6.9521 6.9521 12.5717
angles: 90.00 90.00 120.00
Last column: nearest neighbours and their distance in Å.
Positions (direct):
Na  0.0000  0.0000  0.0000  6 Cl 2.92
Na  0.0000  0.0000  0.5000  6 Cl 2.92
Hg  0.3333  0.6667  0.2500  6 Cl 2.72
Hg  0.6667  0.3333  0.7500  6 Cl 2.72
Pb  0.3333  0.6667  0.7500  6 Cl 2.75
Pb  0.6667  0.3333  0.2500  6 Cl 2.75
Cl  0.0036  0.3526  0.1275  1 Hg 2.72, 1 Pb 2.75, 1 Na 2.92
Cl  0.0036  0.6510  0.3725  1 Hg 2.72, 1 Pb 2.75, 1 Na 2.92
Cl  0.3490  0.3526  0.3725  1 Hg 2.72, 1 Pb 2.75, 1 Na 2.92
Cl  0.3490  0.9964  0.1275  1 Hg 2.72, 1 Pb 2.75, 1 Na 2.92
Cl  0.3526  0.0036  0.6275  1 Hg 2.72, 1 Pb 2.75, 1 Na 2.92
Cl  0.3526  0.3490  0.8725  1 Hg 2.72, 1 Pb 2.75, 1 Na 2.92
Cl  0.6474  0.6510  0.1275  1 Hg 2.72, 1 Pb 2.75, 1 Na 2.92
Cl  0.6474  0.9964  0.3725  1 Hg 2.72, 1 Pb 2.75, 1 Na 2.92
Cl  0.6510  0.0036  0.8725  1 Hg 2.72, 1 Pb 2.75, 1 Na 2.92
Cl  0.6510  0.6474  0.6275  1 Hg 2.72, 1 Pb 2.75, 1 Na 2.92
Cl  0.9964  0.3490  0.6275  1 Hg 2.72, 1 Pb 2.75, 1 Na 2.92
Cl  0.9964  0.6474  0.8725  1 Hg 2.72, 1 Pb 2.75, 1 Na 2.92

D(E_F) (states/eV per cell): 12.6
SG: P-31c (163)
Uncorrected energy (eV/cell): -49.3
Magnetization (μB per atom): 0.05
Formation energy from raw total energies (eV/atom): -0.917

6.
A plane-wave DFT calculation with PBE was carried out for a relaxed structure of Y2Sb2As.

abc: 7.7918 7.7918 4.4791
angles: 90.00 90.00 90.00
Last column: nearest neighbours and their distance in Å.
Positions (direct):
Y  0.1749  0.3251  0.0000  2 As 2.88, 2 Sb 3.09
Y  0.3251  0.8251  0.0000  2 As 2.88, 2 Sb 3.09
Y  0.6749  0.1749  0.0000  2 As 2.88, 2 Sb 3.09
Y  0.8251  0.6749  0.0000  2 As 2.88, 2 Sb 3.09
Sb  0.1315  0.6315  0.5000  1 Sb 2.90, 2 Y 3.09
Sb  0.3685  0.1315  0.5000  1 Sb 2.90, 2 Y 3.09
Sb  0.6315  0.8685  0.5000  1 Sb 2.90, 2 Y 3.09
Sb  0.8685  0.3685  0.5000  1 Sb 2.90, 2 Y 3.09
As  0.0000  0.0000  0.0000  4 Y 2.88
As  0.5000  0.5000  0.0000  4 Y 2.88

D(E_F) (states/eV per cell): 6.3
SG: P4/mbm (127)
Uncorrected energy (eV/cell): -59.7
Magnetization (μB per atom): 0.00
Formation energy from raw total energies (eV/atom): -0.809

7.
A plane-wave DFT calculation with PBE was carried out for a relaxed structure of HoPdPt6.

abc: 4.0129 4.0129 8.1912
angles: 90.00 90.00 90.00
Last column: nearest neighbours and their distance in Å.
Positions (direct):
Ho  0.0000  0.0000  0.0000  12 Pt 2.84-2.91
Pd  0.0000  0.0000  0.5000  12 Pt 2.83-2.84
Pt  0.0000  0.5000  0.2571  2 Pd 2.83, 8 Pt 2.83-2.91, 2 Ho 2.91
Pt  0.0000  0.5000  0.7429  2 Pd 2.83, 8 Pt 2.83-2.91, 2 Ho 2.91
Pt  0.5000  0.0000  0.2571  2 Pd 2.83, 8 Pt 2.83-2.91, 2 Ho 2.91
Pt  0.5000  0.0000  0.7429  2 Pd 2.83, 8 Pt 2.83-2.91, 2 Ho 2.91
Pt  0.5000  0.5000  0.0000  4 Ho 2.84, 8 Pt 2.91
Pt  0.5000  0.5000  0.5000  8 Pt 2.83, 4 Pd 2.84

D(E_F) (states/eV per cell): 10.2
ΔH_f (0 K) (eV/atom): -0.51
SG: P4/mmm (123)
Uncorrected energy (eV/cell): -50.1
Magnetization (μB per atom): 0.00

8.
A plane-wave DFT calculation with PBE was carried out for a relaxed structure of SnRhN3.

abc: 3.9354 3.9354 3.9354
angles: 90.00 90.00 90.00
Last column: nearest neighbours and their distance in Å.
Positions (direct):
Sn  0.0000  0.0000  0.0000  12 N 2.78
Rh  0.5000  0.5000  0.5000  6 N 1.97
N  0.0000  0.5000  0.5000  2 Rh 1.97
N  0.5000  0.0000  0.5000  2 Rh 1.97
N  0.5000  0.5000  0.0000  2 Rh 1.97

D(E_F) (states/eV per cell): 4.4
SG: Pm-3m (221)
Uncorrected energy (eV/cell): -29.5
Magnetization (μB per atom): 0.00
Formation energy from raw total energies (eV/atom): 1.360